Entry 1:
LaTbTm2Sb4 | GGA-PBE | relaxed

POSCAR file:
```
LaTbTm2Sb4
1.0
-3.1344 3.1344 6.2623
3.1344 -3.1344 6.2623
3.1344 3.1344 -6.2623
La Tb Tm Sb
1 1 2 4
Direct
0.0000 0.0000 0.0000
0.5000 0.5000 0.0000
0.2500 0.7500 0.5000
0.7500 0.2500 0.5000
0.0000 0.5000 0.5000
0.2543 0.2543 0.0000
0.5000 0.0000 0.5000
0.7457 0.7457 0.0000
```

Calculated values
As for the total energy: -5.487 eV per atom. As for the density of states at the Fermi level: 1.244 states/eV/cell. For the volume, the calculation gives 246.1 Å³ per cell. As for the uncorrected formation energy: -1.113 eV per atom.

Entry 2:
TlTcHg | GGA-PBE | relaxed

POSCAR file:
```
TlTcHg
1.0
0.0000 2.6866 7.5113
1.5672 0.0000 7.5113
1.5672 2.6866 0.0000
Tl Tc Hg
1 1 1
Direct
0.0000 0.0000 0.0000
0.6578 0.6578 0.3422
0.3135 0.3135 0.6865
```

Calculated values
As for the total energy: -3.591 eV per atom. The calculated formation energy comes out at 0.754 eV per atom. Its energy above the most stable polymorph in this dataset is 0.12 eV per formula unit. As for the density of states at the Fermi level: 2.175 states/eV/cell. For the volume, the calculation gives 63.3 Å³ per cell.

Entry 3:
MgHgOs2 | GGA-PBE | relaxed

POSCAR file:
```
MgHgOs2
1.0
1.4589 -2.4331 0.0000
1.4589 2.4331 0.0000
0.0000 0.0000 9.6284
Mg Hg Os
1 1 2
Direct
0.0000 0.0000 0.0000
0.5000 0.5000 0.2718
0.0000 0.0000 0.5410
0.5000 0.5000 0.7621
```

Calculated values
As for the total energy: -5.504 eV per atom. The calculated formation energy comes out at 0.585 eV per atom. Its energy above the most stable polymorph in this dataset is 1.58 eV per formula unit. As for the density of states at the Fermi level: 3.436 states/eV/cell. For the volume, the calculation gives 68.4 Å³ per cell.

Entry 4:
ReTc2GeAu | GGA-PBE | relaxed

POSCAR file:
```
ReTc2GeAu
1.0
4.6848 0.0000 0.0000
0.0000 4.6848 0.0000
0.0000 0.0000 5.1128
Re Tc Ge Au
1 2 1 1
Direct
0.0000 0.0000 0.0000
0.0000 0.5000 0.0000
0.5000 0.0000 0.0000
0.5000 0.5000 0.5000
0.0000 0.0000 0.5000
```

Calculated values
As for the total energy: -6.638 eV per atom. The calculated formation energy comes out at 1.577 eV per atom. As for the density of states at the Fermi level: 4.994 states/eV/cell. For the volume, the calculation gives 112.2 Å³ per cell.

Entry 5:
Fe4NiRh | GGA-PBE | relaxed

POSCAR file:
```
Fe4NiRh
1.0
4.6689 -1.4844 0.0000
4.6689 1.4844 0.0000
-1.6675 0.0000 5.3618
Fe Ni Rh
4 1 1
Direct
0.1692 0.1692 0.3416
0.1717 0.1717 0.8279
0.8283 0.8283 0.1721
0.8308 0.8308 0.6584
0.5000 0.5000 0.5000
0.5000 0.5000 0.0000
```

Calculated values
As for the total energy: -7.823 eV per atom. The calculated formation energy comes out at 0.007 eV per atom. Its energy above the most stable polymorph in this dataset is 0.00 eV per formula unit. As for the density of states at the Fermi level: 6.364 states/eV/cell. For the volume, the calculation gives 74.3 Å³ per cell.

Entry 6:
Pm5Er3As8 | GGA-PBE | relaxed

POSCAR file:
```
Pm5Er3As8
1.0
4.1816 2.4142 6.8248
-4.1816 2.4142 6.8248
0.0000 -4.8285 6.8248
Pm Er As
5 3 8
Direct
0.0000 0.0000 0.0000
0.0000 0.5000 0.5000
0.5000 0.0000 0.5000
0.5000 0.5000 0.0000
0.5000 0.5000 0.5000
0.0000 0.0000 0.5000
0.0000 0.5000 0.0000
0.5000 0.0000 0.0000
0.2436 0.7500 0.7500
0.2468 0.2468 0.2468
0.2500 0.2500 0.7564
0.2500 0.7564 0.2500
0.7500 0.2436 0.7500
0.7500 0.7500 0.2436
0.7532 0.7532 0.7532
0.7564 0.2500 0.2500
```

Calculated values
As for the total energy: -6.181 eV per atom. The calculated formation energy comes out at -1.516 eV per atom. As for the density of states at the Fermi level: 2.156 states/eV/cell. For the volume, the calculation gives 413.4 Å³ per cell.

- The highest volume belongs to which entry?
  Pm5Er3As8

Please write out number 6 again, unchanged.
Pm5Er3As8 | GGA-PBE | relaxed

POSCAR file:
```
Pm5Er3As8
1.0
4.1816 2.4142 6.8248
-4.1816 2.4142 6.8248
0.0000 -4.8285 6.8248
Pm Er As
5 3 8
Direct
0.0000 0.0000 0.0000
0.0000 0.5000 0.5000
0.5000 0.0000 0.5000
0.5000 0.5000 0.0000
0.5000 0.5000 0.5000
0.0000 0.0000 0.5000
0.0000 0.5000 0.0000
0.5000 0.0000 0.0000
0.2436 0.7500 0.7500
0.2468 0.2468 0.2468
0.2500 0.2500 0.7564
0.2500 0.7564 0.2500
0.7500 0.2436 0.7500
0.7500 0.7500 0.2436
0.7532 0.7532 0.7532
0.7564 0.2500 0.2500
```

Calculated values
As for the total energy: -6.181 eV per atom. The calculated formation energy comes out at -1.516 eV per atom. As for the density of states at the Fermi level: 2.156 states/eV/cell. For the volume, the calculation gives 413.4 Å³ per cell.

- Which value of volume does entry 2 give?
  63.3 Å³ per cell